Computed, not measured: TlWC2 after structural relaxation at the PBEsol level of DFT.

Cell and atoms, written as extended XYZ:
```
4
Lattice="-0.4893 -4.0090 -0.5640 1.4275 -1.7723 -3.3839 3.2181 -2.4961 0.2077" Properties=species:S:1:pos:R:3 pbc="T T T"
Tl 2.0782 -4.1387 -1.8701
C 1.0391 -2.0693 -0.9351
C 3.1173 -6.2080 -2.8052
W 0.0000 0.0000 0.0000
```

Properties
Polymorph energy (0 for the lowest one)   1312 meV/atom
Formation enthalpy at 0 K   2.34 eV per atom


Computed, not measured: Tl3ZnC after structural relaxation at the PBEsol level of DFT.

Cell and atoms, written as extended XYZ:
```
5
Lattice="4.8902 0.0000 0.0000 0.0000 4.8902 0.0000 0.0000 0.0000 4.8902" Properties=species:S:1:pos:R:3 pbc="T T T"
C 0.0000 0.0000 0.0000
Tl 0.0000 2.4451 0.0000
Tl 0.0000 0.0000 2.4451
Tl 2.4451 0.0000 0.0000
Zn 2.4451 2.4451 2.4451
```

Properties
Formation enthalpy at 0 K   1.03 eV per atom


Computed, not measured: Tm2C3 after structural relaxation at the PBEsol level of DFT.

Cell and atoms, written as extended XYZ:
```
20
Lattice="6.9178 0.0000 0.0000 -2.3059 6.5221 0.0000 -2.3059 -3.2611 5.6483" Properties=species:S:1:pos:R:3 pbc="T T T"
Tm 2.7647 0.0000 0.0000
Tm 0.2314 4.2371 2.8242
Tm -2.0745 1.9578 2.2574
Tm 2.5373 3.5883 0.5668
Tm -3.2275 0.3272 5.0816
Tm -0.9216 -1.3033 3.3909
Tm 1.3843 0.9761 2.8242
Tm 6.2236 0.0000 0.0000
C -1.3414 5.4404 1.4121
C -2.1175 4.3428 1.4121
C 4.4234 -0.6820 1.6428
C 2.1175 -1.4973 5.4176
C 0.1884 2.3126 1.1813
C 2.4943 3.1278 3.0549
C -0.9646 1.0817 4.2362
C 1.3414 -0.9485 4.4670
C -0.1884 2.1794 4.2362
C 3.6473 -0.1332 2.5934
C 0.9646 1.7637 0.2307
C 3.2705 2.5790 4.0055
```

Properties
Formation enthalpy at 0 K   -0.34 eV per atom


Computed, not measured: Tm2C after structural relaxation at the PBEsol level of DFT.

Cell and atoms, written as extended XYZ:
```
3
Lattice="-1.4914 -3.1390 0.3379 -0.1892 -2.1477 -2.7465 4.6807 -4.0948 0.6600" Properties=species:S:1:pos:R:3 pbc="T T T"
C 1.5000 -4.6907 -0.8743
Tm 2.1018 -6.9701 -1.3528
Tm 0.8983 -2.4113 -0.3958
```

Properties
Formation enthalpy at 0 K   -0.37 eV per atom


Computed, not measured: TmWC2 after structural relaxation at the PBEsol level of DFT.

Cell and atoms, written as extended XYZ:
```
16
Lattice="-2.5748 -0.7067 -1.9392 -3.2767 -0.5245 4.5417 -2.4244 10.3527 -0.5535" Properties=species:S:1:pos:R:3 pbc="T T T"
Tm -5.2609 0.4127 2.6232
Tm -4.1685 3.0065 0.2277
Tm -3.0150 8.7088 -0.5742
Tm -4.1073 6.1150 1.8214
W -6.0484 8.3773 0.7665
W -3.7281 5.7273 -1.3486
W -2.2275 0.7443 1.2825
W -4.5478 3.3943 3.3977
C -6.5086 6.8212 1.9447
C -4.8575 7.0289 -0.3233
C -1.7672 2.3004 0.1043
C -3.4183 2.0927 2.3723
C -2.8436 -0.5430 -0.2381
C -5.6341 4.1146 1.7697
C -5.4323 9.6646 2.2871
C -2.6418 5.0069 0.2793
```

Properties
Formation enthalpy at 0 K   -0.40 eV per atom


Computed, not measured: U2C3 after structural relaxation at the PBEsol level of DFT.

Cell and atoms, written as extended XYZ:
```
20
Lattice="-5.8841 1.1513 -3.3850 -0.5809 -5.7668 3.7166 1.3154 5.3057 4.1863" Properties=species:S:1:pos:R:3 pbc="T T T"
C -1.4994 -3.9929 3.9054
C -0.3304 -3.1583 3.8455
C -4.0588 2.1740 -1.2187
C -3.0848 4.5041 2.5490
C -1.4580 -1.2532 1.7852
C -4.3491 -0.5854 2.3696
C -0.9985 1.2240 4.1633
C -2.2588 3.3366 2.4041
C -2.1675 0.3895 4.2232
C -3.9260 2.0906 0.2102
C -1.5908 -1.1698 0.3563
C -5.1751 0.5821 2.5145
U -2.3617 0.4621 -1.3586
U -2.8079 -1.9695 3.7507
U 0.2375 -0.7539 3.5386
U -3.7404 -2.2397 0.6114
U 0.8952 1.8990 5.6317
U 0.1498 2.7209 2.5388
U -2.5175 0.9139 1.8924
U -5.3037 1.0378 -3.0511
```

Properties
Formation enthalpy at 0 K   -0.13 eV per atom


Computed, not measured: UC after structural relaxation at the PBEsol level of DFT.

Cell and atoms, written as extended XYZ:
```
2
Lattice="-1.3477 -1.4562 2.8226 0.1941 -3.4167 0.4386 2.0762 -1.3131 2.4226" Properties=species:S:1:pos:R:3 pbc="T T T"
C 0.4613 -3.0930 2.8419
U 0.0000 0.0000 0.0000
```

Properties
Formation enthalpy at 0 K   -0.12 eV per atom


Computed, not measured: U2W2C3 after structural relaxation at the PBEsol level of DFT.

Cell and atoms, written as extended XYZ:
```
7
Lattice="-2.6248 0.5372 -1.5690 -2.8642 -2.7800 3.8397 1.7101 5.4952 2.0926" Properties=species:S:1:pos:R:3 pbc="T T T"
C 0.0000 0.0000 0.0000
C -1.9700 0.7841 3.5640
C -1.8089 2.4683 0.7992
U -0.2348 4.0409 1.7763
U -3.5441 -0.7885 2.5870
W -0.8437 0.8142 1.6902
W -2.9352 2.4382 2.6731
```

Properties
Formation enthalpy at 0 K   -0.22 eV per atom